Version A
A relaxed structure of VHgSbI2. Source: Alexandria via LeMat-Bulk, functional PBE.

- space-group type = P4/mmm
- Fermi-level density of states (states/eV per cell) = 7.486
- crystal system = tetragonal

Lattice parameters (Å, degrees): 5.9102 5.9102 5.6392 90.00 90.00 90.00
Fractional positions:
V  0.0000  0.0000  0.0000
Hg  0.5000  0.5000  0.5000
Sb  0.5000  0.5000  0.0000
I  0.0000  0.5000  0.5000
I  0.5000  0.0000  0.5000

---

Version B
A relaxed structure of VHgSbI2. Source: Alexandria via LeMat-Bulk, functional PBE.

- space-group type = P4/mmm
- Fermi-level density of states (states/eV per cell) = 5.028
- crystal system = tetragonal

Lattice parameters (Å, degrees): 5.4838 5.4838 5.2437 90.00 90.00 90.00
Fractional positions:
V  0.0000  0.0000  0.0000
Hg  0.5000  0.5000  0.5000
Sb  0.0000  0.0000  0.5000
I  0.0000  0.5000  0.0000
I  0.5000  0.0000  0.0000

---

version B is the most stable structure; the next one sits 741 meV per atom above it.

---

Version A
A relaxed structure of VHgSb2I. Source: Alexandria via LeMat-Bulk, functional PBE.

- space-group type = P4/mmm
- Fermi-level density of states (states/eV per cell) = 2.858
- crystal system = tetragonal

Lattice parameters (Å, degrees): 5.1008 5.1008 5.8664 90.00 90.00 90.00
Fractional positions:
V  0.0000  0.0000  0.0000
Hg  0.5000  0.5000  0.5000
Sb  0.0000  0.5000  0.0000
Sb  0.5000  0.0000  0.0000
I  0.0000  0.0000  0.5000

---

Version B
A relaxed structure of VHgSb2I. Source: Alexandria via LeMat-Bulk, functional PBE.

- space-group type = P4/mmm
- Fermi-level density of states (states/eV per cell) = 9.478
- crystal system = tetragonal

Lattice parameters (Å, degrees): 5.4698 5.4698 5.9504 90.00 90.00 90.00
Fractional positions:
V  0.0000  0.0000  0.0000
Hg  0.5000  0.5000  0.5000
Sb  0.0000  0.5000  0.5000
Sb  0.5000  0.0000  0.5000
I  0.5000  0.5000  0.0000

---

version A is the most stable structure; the next one sits 1134 meV per atom above it.

---

Version A
A relaxed structure of HgSbWI2. Source: Alexandria via LeMat-Bulk, functional PBE.

- space-group type = P4/mmm
- Fermi-level density of states (states/eV per cell) = 7.436
- crystal system = tetragonal

Lattice parameters (Å, degrees): 5.7842 5.7842 5.6935 90.00 90.00 90.00
Fractional positions:
Hg  0.0000  0.0000  0.0000
Sb  0.0000  0.0000  0.5000
W  0.5000  0.5000  0.5000
I  0.0000  0.5000  0.0000
I  0.5000  0.0000  0.0000

---

Version B
A relaxed structure of HgSbWI2. Source: Alexandria via LeMat-Bulk, functional PBE.

- space-group type = P4/mmm
- Fermi-level density of states (states/eV per cell) = 4.638
- crystal system = tetragonal

Lattice parameters (Å, degrees): 5.6388 5.6388 5.2613 90.00 90.00 90.00
Fractional positions:
Hg  0.0000  0.0000  0.0000
Sb  0.5000  0.5000  0.0000
W  0.5000  0.5000  0.5000
I  0.0000  0.5000  0.5000
I  0.5000  0.0000  0.5000

---

version B is the most stable structure; the next one sits 1067 meV per atom above it.

---

Version A
A relaxed structure of HgSb2WI. Source: Alexandria via LeMat-Bulk, functional PBE.

- space-group type = P4/mmm
- Fermi-level density of states (states/eV per cell) = 3.640
- crystal system = tetragonal

Lattice parameters (Å, degrees): 5.2230 5.2230 5.9063 90.00 90.00 90.00
Fractional positions:
Hg  0.0000  0.0000  0.0000
Sb  0.0000  0.5000  0.5000
Sb  0.5000  0.0000  0.5000
W  0.5000  0.5000  0.5000
I  0.5000  0.5000  0.0000

---

Version B
A relaxed structure of HgSb2WI. Source: Alexandria via LeMat-Bulk, functional PBE.

- space-group type = P4/mmm
- Fermi-level density of states (states/eV per cell) = 5.886
- crystal system = tetragonal

Lattice parameters (Å, degrees): 5.4986 5.4986 5.7565 90.00 90.00 90.00
Fractional positions:
Hg  0.0000  0.0000  0.0000
Sb  0.0000  0.5000  0.0000
Sb  0.5000  0.0000  0.0000
W  0.5000  0.5000  0.5000
I  0.0000  0.0000  0.5000

---

version A is the most stable structure; the next one sits 1229 meV per atom above it.

---

Version A
A relaxed structure of YHgSbI2. Source: Alexandria via LeMat-Bulk, functional PBE.

- space-group type = P4/mmm
- Fermi-level density of states (states/eV per cell) = 2.291
- crystal system = tetragonal

Lattice parameters (Å, degrees): 5.6966 5.6966 5.7297 90.00 90.00 90.00
Fractional positions:
Y  0.0000  0.0000  0.0000
Hg  0.5000  0.5000  0.5000
Sb  0.5000  0.5000  0.0000
I  0.0000  0.5000  0.5000
I  0.5000  0.0000  0.5000

---

Version B
A relaxed structure of YHgSbI2. Source: Alexandria via LeMat-Bulk, functional PBE.

- space-group type = P4/mmm
- Fermi-level density of states (states/eV per cell) = 2.045
- crystal system = tetragonal

Lattice parameters (Å, degrees): 6.0284 6.0284 6.2192 90.00 90.00 90.00
Fractional positions:
Y  0.0000  0.0000  0.0000
Hg  0.5000  0.5000  0.5000
Sb  0.0000  0.0000  0.5000
I  0.0000  0.5000  0.0000
I  0.5000  0.0000  0.0000

---

version B is the most stable structure; the next one sits 652 meV per atom above it.

---

Version A
A relaxed structure of ScHgI2. Source: Alexandria via LeMat-Bulk, functional PBE.

- space-group type = R-3m
- Fermi-level density of states (states/eV per cell) = 1.980
- crystal system = trigonal

Lattice parameters (Å, degrees): 12.0934 12.0934 12.0934 19.09 19.09 19.09
Fractional positions:
Sc  0.0000  0.0000  0.0000
Hg  0.5000  0.5000  0.5000
I  0.3845  0.3845  0.3845
I  0.6155  0.6155  0.6155

---

Version B
A relaxed structure of ScHgI2. Source: Alexandria via LeMat-Bulk, functional PBE.

- space-group type = Fm-3m
- Fermi-level density of states (states/eV per cell) = 6.273
- crystal system = cubic

Lattice parameters (Å, degrees): 5.5231 5.5231 5.5231 60.00 60.00 60.00
Fractional positions:
Sc  0.0000  0.0000  0.0000
Hg  0.5000  0.5000  0.5000
I  0.2500  0.2500  0.2500
I  0.7500  0.7500  0.7500

---

Version C
A relaxed structure of ScHgI2. Source: Alexandria via LeMat-Bulk, functional PBE.

- space-group type = I-42d
- Fermi-level density of states (states/eV per cell) = 4.887
- crystal system = tetragonal

Lattice parameters (Å, degrees): 7.9517 7.9517 7.9517 98.18 98.18 135.68
Fractional positions:
Sc  0.0000  0.0000  0.0000
Sc  0.7500  0.2500  0.5000
Hg  0.2500  0.7500  0.5000
Hg  0.5000  0.5000  0.0000
I  0.3750  0.0226  0.1476
I  0.7726  0.6250  0.6476
I  0.8750  0.2274  0.8524
I  0.9774  0.1250  0.3524

---

version A is the most stable structure; the next one sits 151 meV per atom above it.

---

Version A
A relaxed structure of ScV2HgI. Source: Alexandria via LeMat-Bulk, functional PBE.

- space-group type = P4/mmm
- Fermi-level density of states (states/eV per cell) = 8.550
- crystal system = tetragonal

Lattice parameters (Å, degrees): 5.1482 5.1482 5.3371 90.00 90.00 90.00
Fractional positions:
Sc  0.0000  0.0000  0.0000
V  0.0000  0.5000  0.5000
V  0.5000  0.0000  0.5000
Hg  0.0000  0.0000  0.5000
I  0.5000  0.5000  0.0000

---

Version B
A relaxed structure of ScV2HgI. Source: Alexandria via LeMat-Bulk, functional PBE.

- space-group type = P4/mmm
- Fermi-level density of states (states/eV per cell) = 12.907
- crystal system = tetragonal

Lattice parameters (Å, degrees): 5.0995 5.0995 6.2132 90.00 90.00 90.00
Fractional positions:
Sc  0.0000  0.0000  0.0000
V  0.0000  0.5000  0.5000
V  0.5000  0.0000  0.5000
Hg  0.5000  0.5000  0.5000
I  0.5000  0.5000  0.0000

---

version A is the most stable structure; the next one sits 402 meV per atom above it.